(1)
VASP calculation (PBE) on a relaxed structure of CuSiOs2.

abc: 3.9382 2.8138 5.1423
angles: 74.37 90.00 90.00
Closest atoms and distances in Å follow each position.
Sites, in units of the cell vectors:
Cu1 0.5000 0.7063 0.7153  4 Si 2.59, 7 Os 2.60-2.84, 2 Cu 2.81
Os1 0.0000 0.0545 0.0143  1 Si 2.40, 4 Os 2.67
Os2 0.5000 0.4428 0.2405  2 Si 2.44, 1 Cu 2.60, 4 Os 2.67
Si1 0.0000 0.2965 0.5299  3 Os 2.40-2.44, 4 Cu 2.59

Properties
electronic total energy: -31.5 eV per cell

(2)
VASP calculation (PBE) on a relaxed structure of CuSi2Os.

abc: 4.3568 2.9262 4.1397
angles: 90.00 90.00 90.00
Closest atoms and distances in Å follow each position.
Sites, in units of the cell vectors:
Cu1 0.0000 0.3749 0.5000  6 Si 2.44-2.59
Os1 0.5000 0.8750 0.7484  6 Si 2.45-2.58
Si1 0.0000 0.8750 0.0175  2 Os 2.45, 4 Cu 2.48-2.59
Si2 0.5000 0.3751 0.2341  2 Cu 2.44, 4 Os 2.49-2.58

Properties
electronic total energy: -26.4 eV per cell